Record 1
InFeO3: single point on PBEsol structure, SCAN.

calculated density = 6.52 g/cm³
E_tot = -78.48 eV per formula unit
uncorrected formation energy = -1.653 eV/atom

Cell lengths 3.2990, 3.2990, 11.8134 Å; angles 90.00, 90.00, 120.00 degrees
Space group P6_3/mmc (No. 194)
One atom of each set of equivalent atoms:
1 In 0.0000 0.0000 0.0000 [2 per cell]
2 Fe 0.3333 0.6667 0.2500 [2 per cell]
3 O 0.0000 0.0000 0.2500 [2 per cell]
4 O 0.3333 0.6667 0.0891 [4 per cell]



Record 2
InFe2Os: single point on PBEsol structure, SCAN.

calculated density = 13.06 g/cm³
E_tot = -140.32 eV per formula unit
energy of formation from the pure elements = 0.302 eV/atom

Cell lengths 2.727, 2.727, 7.123 Å; angles 90.00, 90.00, 90.00 degrees
Space group P4/mmm (No. 123)
One atom of each set of equivalent atoms:
1 In 0.000 0.000 0.000 [1 per cell]
2 Fe 0.500 0.500 0.274 [2 per cell]
3 Os 0.000 0.000 0.500 [1 per cell]



Record 3
InFe2Os: single point on PBEsol structure, SCAN.

calculated density = 12.55 g/cm³
E_tot = -140.68 eV per formula unit
energy of formation from the pure elements = 0.212 eV/atom

Cell lengths 2.975, 4.328, 8.563 Å; angles 90.00, 90.00, 90.00 degrees
Space group Imm2 (No. 44)
One atom of each set of equivalent atoms:
1 In 0.000 0.000 0.000 [2 per cell]
2 Fe 0.000 0.000 0.479 [2 per cell]
3 Fe 0.000 0.500 0.760 [2 per cell]
4 Os 0.000 0.500 0.226 [2 per cell]